Here is a relaxed structure of CsPb2Au from Alexandria via LeMat-Bulk. Energies are from GGA-PBE.

- Magnetic moment: 0.0 μB per cell
- Formation energy: -9.14 kJ/mol of atoms
- DOS(E_F): 2.91 states/eV per cell
- Energy: -2.982 eV per atom

abc: 5.7529 7.1861 8.8527
angles: 84.14 71.04 71.70
Atoms (fractional coordinates):
Cs  0.9157  0.2500  0.1687
Cs  0.0843  0.7500  0.8313
Pb  0.1628  0.6329  0.2964
Pb  0.5408  0.8671  0.2964
Pb  0.8372  0.3671  0.7036
Pb  0.4592  0.1329  0.7036
Au  0.2876  0.2500  0.4248
Au  0.7124  0.7500  0.5752